Computed, not measured: a relaxed Dy3Tl3VO8 crystal at the PBE with a Hubbard U level of DFT.

The structure in POSCAR format:
```
Dy3Tl3VO8
1.0
-1.151 4.330 5.084
-5.182 -2.989 -3.144
4.131 -4.389 4.673
O Dy V Tl
8 3 1 3
Cartesian
-1.813 -1.904 1.211
0.897 -0.547 2.705
0.265 1.831 5.497
-2.613 0.171 3.779
0.412 -3.219 2.835
-2.467 -4.879 1.116
-0.388 -1.144 5.403
-3.099 -2.501 3.908
-1.101 -1.524 3.307
-0.525 -3.689 0.765
1.490 -0.029 4.879
2.066 -2.195 2.337
0.000 0.000 0.000
-3.167 0.671 0.970
-2.591 -1.494 -1.572
```

Calculated values
DFT total energy	-0.5000	Ry per atom